No. 1
Entry from the Alexandria database: an optimized crystal structure of CeEr6Th (PBE-GGA).

Geometry as CIF:
```
data_CeEr6Th
_chemical_formula_sum 'Ce1 Er6 Th1'
_space_group_name_H-M_alt 'P 1'
_space_group_IT_number 1
_cell_length_a 6.500
_cell_length_b 6.480
_cell_length_c 7.428
_cell_angle_alpha 115.76
_cell_angle_beta 64.23
_cell_angle_gamma 89.90
loop_
_space_group_symop_operation_xyz
'x,y,z'
loop_
_atom_site_label
_atom_site_type_symbol
_atom_site_fract_x
_atom_site_fract_y
_atom_site_fract_z
_atom_site_occupancy
Th1 Th 0.000 0.000 0.000 1
Er1 Er 0.545 0.762 0.524 1
Er2 Er 0.073 0.734 0.468 1
Er3 Er 0.927 0.266 0.532 1
Er4 Er 0.455 0.238 0.476 1
Er5 Er 0.500 0.751 0.000 1
Er6 Er 0.500 0.249 0.000 1
Ce1 Ce 0.000 0.500 0.000 1
```

Results
- V (Å³/f.u.) = 246.6
- energy of formation from the pure elements (eV/atom) = 0.2292



No. 2
Entry from the Alexandria database: an optimized crystal structure of InTe2Pt (PBE-GGA).

Geometry as CIF:
```
data_InTe2Pt
_chemical_formula_sum 'In1 Te2 Pt1'
_space_group_name_H-M_alt 'P 1'
_space_group_IT_number 1
_cell_length_a 4.073
_cell_length_b 4.073
_cell_length_c 7.904
_cell_angle_alpha 75.07
_cell_angle_beta 75.07
_cell_angle_gamma 60.00
loop_
_space_group_symop_operation_xyz
'x,y,z'
loop_
_atom_site_label
_atom_site_type_symbol
_atom_site_fract_x
_atom_site_fract_y
_atom_site_fract_z
_atom_site_occupancy
Te1 Te 0.063 0.063 0.812 1
Te2 Te 0.269 0.269 0.192 1
In1 In 0.501 0.501 0.497 1
Pt1 Pt 0.667 0.667 0.999 1
```

Results
- V (Å³/f.u.) = 108.4



Number 1: size of the total moment 1.1 μB per cell, DFT total energy -4.862 eV per atom. Number 2: size of the total moment 0.0 μB per cell, DFT total energy -4.011 eV per atom.